(1)
RbCdB2H8 | PBE-GGA | optimized geometry

Geometry as POSCAR:
```
RbCdB2H8
1.0
2.540 1.466 6.951
-2.540 1.466 6.951
0.000 -2.933 6.951
Rb Cd B H
1 1 2 8
Cartesian
0.000 0.000 0.000
0.000 0.000 10.426
0.000 0.000 5.335
0.000 0.000 15.517
-1.518 -0.921 9.020
0.000 0.000 6.558
-1.557 0.854 11.832
0.039 -1.775 11.832
-0.039 1.775 9.020
1.557 -0.854 9.020
0.000 0.000 14.293
1.518 0.921 11.832
```

***

(2)
RbCdBH2 | PBE-GGA | optimized geometry

Geometry as POSCAR:
```
RbCdBH2
1.0
4.599 0.000 0.000
0.000 4.599 0.000
0.000 0.000 4.301
Rb Cd B H
1 1 1 2
Cartesian
0.000 0.000 0.000
2.300 2.300 0.000
2.300 2.300 2.150
0.000 2.300 2.150
2.300 0.000 2.150
```

***

| no. | DFT total energy (eV/cell) | size of the total moment (μB/cell) |
| --- | --- | --- |
| 1 | -43.58 | 0.00 |
| 2 | -11.17 | 0.00 |